PrCdInTe3 after structural relaxation. Source: the Open Quantum Materials Database, functional PBE.

Values from the calculation:
Final energy (eV/atom): -3.698
E above lowest polymorph (meV per atom): 55

Cell: 8.876 4.705 18.926 Å, 90.00 90.00 90.00°
Fractional coordinates of all 24 atoms:
Te 0.494 0.750 0.078
Cd 0.425 0.750 0.840
Te 0.231 0.250 0.210
Te 0.731 0.250 0.290
In 0.057 0.250 0.800
Te 0.371 0.250 0.435
Te 0.994 0.750 0.422
Cd 0.575 0.250 0.160
Pr 0.229 0.250 0.041
Te 0.129 0.750 0.935
In 0.443 0.750 0.300
Te 0.506 0.250 0.922
Pr 0.271 0.750 0.541
Pr 0.771 0.750 0.959
Te 0.871 0.250 0.065
In 0.557 0.250 0.700
In 0.943 0.750 0.200
Cd 0.075 0.250 0.340
Pr 0.729 0.250 0.459
Te 0.269 0.750 0.710
Te 0.006 0.250 0.578
Te 0.629 0.750 0.565
Te 0.769 0.750 0.790
Cd 0.925 0.750 0.660

***

NaDyTm after structural relaxation. Source: the Open Quantum Materials Database, functional PBE.

Values from the calculation:
Final energy (eV/atom): -2.614
E above lowest polymorph (meV per atom): 0

Cell: 5.282 5.282 5.282 Å, 60.00 60.00 60.00°
Fractional coordinates of all 3 atoms:
Tm 0.750 0.750 0.750
Na 0.000 0.000 0.000
Dy 0.250 0.250 0.250